K3Ba: relaxed, PBEsol.

Space group: No. 47
Energy of formation from the pure elements (kcal/mol of atoms): 2.3
VASP energy (eV per atom): -1.287

Unit cell a=4.458 b=6.535 c=9.188 alpha=90.00 beta=90.00 gamma=90.00
Atoms (fractional coordinates):
K  0.500  0.500  0.751
K  0.000  0.000  0.500
K  0.500  0.500  0.249
Ba  0.000  0.000  0.000